*P*
# Te2C, optimized geometry, DFT GGA-PBE
# V: 20.66 Å³ per atom
# total magnetization: 0.000 μB per formula unit
data_Te2C
_chemical_formula_sum 'Te8 C4'
_symmetry_space_group_name_H-M 'P a -3'
_symmetry_Int_Tables_number 205
_symmetry_space_group_name_Hall '-P 2ac 2ab 3'
_cell_length_a 6.282
_cell_length_b 6.282
_cell_length_c 6.282
_cell_angle_alpha 90.00
_cell_angle_beta 90.00
_cell_angle_gamma 90.00
loop_
_atom_site_label
_atom_site_fract_x
_atom_site_fract_y
_atom_site_fract_z
Te1 0.144 0.144 0.144
C1 0.000 0.000 0.500


*Q*
# Te2C, optimized geometry, DFT GGA-PBE
# V: 28.48 Å³ per atom
# total magnetization: 0.000 μB per formula unit
data_Te2C
_chemical_formula_sum 'Te8 C4'
_symmetry_space_group_name_H-M 'C m m m'
_symmetry_Int_Tables_number 65
_symmetry_space_group_name_Hall '-C 2 2'
_cell_length_a 8.557
_cell_length_b 12.232
_cell_length_c 3.265
_cell_angle_alpha 90.00
_cell_angle_beta 90.00
_cell_angle_gamma 90.00
loop_
_atom_site_label
_atom_site_fract_x
_atom_site_fract_y
_atom_site_fract_z
Te1 0.000 0.000 0.000
Te2 0.000 0.238 0.500
Te3 0.000 0.500 0.500
C1 0.000 0.356 0.000


*R*
# Te2C, optimized geometry, DFT GGA-PBE
# V: 23.30 Å³ per atom
# total magnetization: 0.000 μB per formula unit
data_Te2C
_chemical_formula_sum 'Te6 C3'
_symmetry_space_group_name_H-M 'R 3 m'
_symmetry_Int_Tables_number 160
_symmetry_space_group_name_Hall 'R 3 -2"'
_cell_length_a 3.3312
_cell_length_b 3.3312
_cell_length_c 21.8238
_cell_angle_alpha 90.00
_cell_angle_beta 90.00
_cell_angle_gamma 120.00
loop_
_atom_site_label
_atom_site_fract_x
_atom_site_fract_y
_atom_site_fract_z
Te1 0.0000 0.0000 0.0000
Te2 0.0000 0.0000 0.1785
C1 0.0000 0.0000 0.3850


Most stable to least stable: *R*, *Q*, *P*


*P*
# TeC, optimized geometry, DFT GGA-PBE
# V: 19.43 Å³ per atom
# total magnetization: 0.000 μB per formula unit
data_TeC
_chemical_formula_sum 'Te2 C2'
_symmetry_space_group_name_H-M 'P 1 21/m 1'
_symmetry_Int_Tables_number 11
_cell_length_a 3.553
_cell_length_b 3.422
_cell_length_c 6.409
_cell_angle_alpha 90.00
_cell_angle_beta 94.08
_cell_angle_gamma 90.00
loop_
_symmetry_equiv_pos_as_xyz
'x,y,z'
'-x,-y,-z'
'-x,y+1/2,-z'
'x,-y+1/2,z'
loop_
_atom_site_label
_atom_site_fract_x
_atom_site_fract_y
_atom_site_fract_z
Te1 0.184 0.250 0.203
C1 0.220 0.250 0.864


*Q*
# TeC, optimized geometry, DFT GGA-PBE
# V: 25.00 Å³ per atom
# total magnetization: 0.000 μB per formula unit
data_TeC
_chemical_formula_sum 'Te6 C6'
_symmetry_space_group_name_H-M 'P m -3 n'
_symmetry_Int_Tables_number 223
_symmetry_space_group_name_Hall '-P 4n 2 3'
_cell_length_a 6.694
_cell_length_b 6.694
_cell_length_c 6.694
_cell_angle_alpha 90.00
_cell_angle_beta 90.00
_cell_angle_gamma 90.00
loop_
_atom_site_label
_atom_site_fract_x
_atom_site_fract_y
_atom_site_fract_z
Te1 0.000 0.250 0.500
C1 0.000 0.500 0.250


Most stable to least stable: *P*, *Q*


*P*
# TeC2, optimized geometry, DFT GGA-PBE
# V: 21.69 Å³ per atom
# total magnetization: 0.000 μB per formula unit
data_TeC2
_chemical_formula_sum 'Te4 C8'
_symmetry_space_group_name_H-M 'I 41/a m d'
_symmetry_Int_Tables_number 141
_cell_length_a 3.602
_cell_length_b 3.602
_cell_length_c 20.057
_cell_angle_alpha 90.00
_cell_angle_beta 90.00
_cell_angle_gamma 90.00
loop_
_symmetry_equiv_pos_as_xyz
'x,y,z'
'-x,-y,-z'
'-y+1/4,x+3/4,z+1/4'
'y+1/4,-x+3/4,-z+1/4'
'-x+1/2,-y,z+1/2'
'x+1/2,y,-z+1/2'
'y+1/4,-x+1/4,z+3/4'
'-y+1/4,x+1/4,-z+3/4'
'x,-y,-z'
'-x,y,z'
'-y+1/4,-x+1/4,-z+3/4'
'y+1/4,x+1/4,z+3/4'
'-x+1/2,y,-z+1/2'
'x+1/2,-y,z+1/2'
'y+1/4,x+3/4,-z+1/4'
'-y+1/4,-x+3/4,z+1/4'
'x+1/2,y+1/2,z+1/2'
'-x+1/2,-y+1/2,-z+1/2'
'-y+3/4,x+1/4,z+3/4'
'y+3/4,-x+1/4,-z+3/4'
'-x,-y+1/2,z'
'x,y+1/2,-z'
'y+3/4,-x+3/4,z+1/4'
'-y+3/4,x+3/4,-z+1/4'
'x+1/2,-y+1/2,-z+1/2'
'-x+1/2,y+1/2,z+1/2'
'-y+3/4,-x+3/4,-z+1/4'
'y+3/4,x+3/4,z+1/4'
'-x,y+1/2,-z'
'x,-y+1/2,z'
'y+3/4,x+1/4,-z+3/4'
'-y+3/4,-x+1/4,z+3/4'
loop_
_atom_site_label
_atom_site_fract_x
_atom_site_fract_y
_atom_site_fract_z
Te1 0.000 0.250 0.375
C1 0.000 0.250 0.842


*Q*
# TeC2, optimized geometry, DFT GGA-PBE
# V: 12.77 Å³ per atom
# total magnetization: 0.000 μB per formula unit
data_TeC2
_chemical_formula_sum 'Te4 C8'
_symmetry_space_group_name_H-M 'I 4/m c m'
_symmetry_Int_Tables_number 140
_symmetry_space_group_name_Hall '-I 4 2c'
_cell_length_a 4.986
_cell_length_b 4.986
_cell_length_c 6.165
_cell_angle_alpha 90.00
_cell_angle_beta 90.00
_cell_angle_gamma 90.00
loop_
_atom_site_label
_atom_site_fract_x
_atom_site_fract_y
_atom_site_fract_z
Te1 0.000 0.000 0.250
C1 0.095 0.405 0.000


*R*
# TeC2, optimized geometry, DFT GGA-PBE
# V: 15.27 Å³ per atom
# total magnetization: 0.000 μB per formula unit
data_TeC2
_chemical_formula_sum 'Te4 C8'
_symmetry_space_group_name_H-M 'C 1 2/m 1'
_symmetry_Int_Tables_number 12
_cell_length_a 7.593
_cell_length_b 3.561
_cell_length_c 7.130
_cell_angle_alpha 90.00
_cell_angle_beta 108.14
_cell_angle_gamma 90.00
loop_
_symmetry_equiv_pos_as_xyz
'x,y,z'
'-x,-y,-z'
'-x,y,-z'
'x,-y,z'
'x+1/2,y+1/2,z'
'-x+1/2,-y+1/2,-z'
'-x+1/2,y+1/2,-z'
'x+1/2,-y+1/2,z'
loop_
_atom_site_label
_atom_site_fract_x
_atom_site_fract_y
_atom_site_fract_z
Te1 0.212 0.000 0.272
C1 0.044 0.500 0.096
C2 0.094 0.000 0.517


Most stable to least stable: *R*, *Q*, *P*


*P*
# TeC2, optimized geometry, DFT GGA-PBE
# V: 17.08 Å³ per atom
# total magnetization: 0.000 μB per formula unit
data_TeC2
_chemical_formula_sum 'Te2 C4'
_symmetry_space_group_name_H-M 'P 4/n m m'
_symmetry_Int_Tables_number 129
_cell_length_a 4.224
_cell_length_b 4.224
_cell_length_c 5.741
_cell_angle_alpha 90.00
_cell_angle_beta 90.00
_cell_angle_gamma 90.00
loop_
_symmetry_equiv_pos_as_xyz
'x,y,z'
'-x,-y,-z'
'-y+1/2,x,z'
'y+1/2,-x,-z'
'-x+1/2,-y+1/2,z'
'x+1/2,y+1/2,-z'
'y,-x+1/2,z'
'-y,x+1/2,-z'
'x+1/2,-y,-z'
'-x+1/2,y,z'
'-y,-x,-z'
'y,x,z'
'-x,y+1/2,-z'
'x,-y+1/2,z'
'y+1/2,x+1/2,-z'
'-y+1/2,-x+1/2,z'
loop_
_atom_site_label
_atom_site_fract_x
_atom_site_fract_y
_atom_site_fract_z
Te1 0.250 0.250 0.189
C1 0.250 0.250 0.822
C2 0.250 0.750 0.000


*Q*
# TeC2, optimized geometry, DFT GGA-PBE
# V: 20.82 Å³ per atom
# total magnetization: 0.000 μB per formula unit
data_TeC2
_chemical_formula_sum 'Te4 C8'
_symmetry_space_group_name_H-M 'I 41/a m d'
_symmetry_Int_Tables_number 141
_cell_length_a 2.735
_cell_length_b 2.735
_cell_length_c 33.391
_cell_angle_alpha 90.00
_cell_angle_beta 90.00
_cell_angle_gamma 90.00
loop_
_symmetry_equiv_pos_as_xyz
'x,y,z'
'-x,-y,-z'
'-y+1/4,x+3/4,z+1/4'
'y+1/4,-x+3/4,-z+1/4'
'-x+1/2,-y,z+1/2'
'x+1/2,y,-z+1/2'
'y+1/4,-x+1/4,z+3/4'
'-y+1/4,x+1/4,-z+3/4'
'x,-y,-z'
'-x,y,z'
'-y+1/4,-x+1/4,-z+3/4'
'y+1/4,x+1/4,z+3/4'
'-x+1/2,y,-z+1/2'
'x+1/2,-y,z+1/2'
'y+1/4,x+3/4,-z+1/4'
'-y+1/4,-x+3/4,z+1/4'
'x+1/2,y+1/2,z+1/2'
'-x+1/2,-y+1/2,-z+1/2'
'-y+3/4,x+1/4,z+3/4'
'y+3/4,-x+1/4,-z+3/4'
'-x,-y+1/2,z'
'x,y+1/2,-z'
'y+3/4,-x+3/4,z+1/4'
'-y+3/4,x+3/4,-z+1/4'
'x+1/2,-y+1/2,-z+1/2'
'-x+1/2,y+1/2,z+1/2'
'-y+3/4,-x+3/4,-z+1/4'
'y+3/4,x+3/4,z+1/4'
'-x,y+1/2,-z'
'x,-y+1/2,z'
'y+3/4,x+1/4,-z+3/4'
'-y+3/4,-x+1/4,z+3/4'
loop_
_atom_site_label
_atom_site_fract_x
_atom_site_fract_y
_atom_site_fract_z
Te1 0.000 0.250 0.375
C1 0.000 0.250 0.000


Most stable to least stable: *Q*, *P*


*P*
# TeC2, optimized geometry, DFT GGA-PBE
# V: 26.92 Å³ per atom
# total magnetization: 0.000 μB per formula unit
data_TeC2
_chemical_formula_sum 'Te4 C8'
_symmetry_space_group_name_H-M 'C m c m'
_symmetry_Int_Tables_number 63
_symmetry_space_group_name_Hall '-C 2c 2'
_cell_length_a 8.366
_cell_length_b 12.687
_cell_length_c 3.044
_cell_angle_alpha 90.00
_cell_angle_beta 90.00
_cell_angle_gamma 90.00
loop_
_atom_site_label
_atom_site_fract_x
_atom_site_fract_y
_atom_site_fract_z
Te1 0.000 0.244 0.250
C1 0.000 0.028 0.750
C2 0.000 0.135 0.750


*Q*
# TeC2, optimized geometry, DFT GGA-PBE
# V: 16.23 Å³ per atom
# total magnetization: 0.000 μB per formula unit
data_TeC2
_chemical_formula_sum 'Te4 C8'
_symmetry_space_group_name_H-M 'I m m m'
_symmetry_Int_Tables_number 71
_symmetry_space_group_name_Hall '-I 2 2'
_cell_length_a 3.423
_cell_length_b 4.422
_cell_length_c 12.864
_cell_angle_alpha 90.00
_cell_angle_beta 90.00
_cell_angle_gamma 90.00
loop_
_atom_site_label
_atom_site_fract_x
_atom_site_fract_y
_atom_site_fract_z
Te1 0.000 0.000 0.174
C1 0.000 0.500 0.213
C2 0.000 0.500 0.450


*R*
# TeC2, optimized geometry, DFT GGA-PBE
# V: 13.90 Å³ per atom
# total magnetization: 0.000 μB per formula unit
data_TeC2
_chemical_formula_sum 'Te4 C8'
_symmetry_space_group_name_H-M 'F m -3 m'
_symmetry_Int_Tables_number 225
_symmetry_space_group_name_Hall '-F 4 2 3'
_cell_length_a 5.505
_cell_length_b 5.505
_cell_length_c 5.505
_cell_angle_alpha 90.00
_cell_angle_beta 90.00
_cell_angle_gamma 90.00
loop_
_atom_site_label
_atom_site_fract_x
_atom_site_fract_y
_atom_site_fract_z
Te1 0.000 0.000 0.000
C1 0.250 0.250 0.250


Most stable to least stable: *P*, *Q*, *R*


*P*
# TeC2, optimized geometry, DFT GGA-PBE
# V: 18.00 Å³ per atom
# total magnetization: 0.000 μB per formula unit
data_TeC2
_chemical_formula_sum 'Te1 C2'
_symmetry_space_group_name_H-M 'P 6/m m m'
_symmetry_Int_Tables_number 191
_symmetry_space_group_name_Hall '-P 6 2'
_cell_length_a 2.7298
_cell_length_b 2.7298
_cell_length_c 8.3658
_cell_angle_alpha 90.00
_cell_angle_beta 90.00
_cell_angle_gamma 120.00
loop_
_atom_site_label
_atom_site_fract_x
_atom_site_fract_y
_atom_site_fract_z
Te1 0.0000 0.0000 0.0000
C1 0.3333 0.6667 0.5000


*Q*
# TeC2, optimized geometry, DFT GGA-PBE
# V: 13.98 Å³ per atom
# total magnetization: 0.000 μB per formula unit
data_TeC2
_chemical_formula_sum 'Te3 C6'
_symmetry_space_group_name_H-M 'R -3 m'
_symmetry_Int_Tables_number 166
_symmetry_space_group_name_Hall '-R 3 2"'
_cell_length_a 3.5421
_cell_length_b 3.5421
_cell_length_c 11.5792
_cell_angle_alpha 90.00
_cell_angle_beta 90.00
_cell_angle_gamma 120.00
loop_
_atom_site_label
_atom_site_fract_x
_atom_site_fract_y
_atom_site_fract_z
Te1 0.0000 0.0000 0.0000
C1 0.0000 0.0000 0.4411


*R*
# TeC2, optimized geometry, DFT GGA-PBE
# V: 20.32 Å³ per atom
# total magnetization: 0.000 μB per formula unit
data_TeC2
_chemical_formula_sum 'Te2 C4'
_symmetry_space_group_name_H-M 'I m m m'
_symmetry_Int_Tables_number 71
_symmetry_space_group_name_Hall '-I 2 2'
_cell_length_a 3.136
_cell_length_b 5.666
_cell_length_c 6.862
_cell_angle_alpha 90.00
_cell_angle_beta 90.00
_cell_angle_gamma 90.00
loop_
_atom_site_label
_atom_site_fract_x
_atom_site_fract_y
_atom_site_fract_z
Te1 0.000 0.000 0.000
C1 0.000 0.389 0.000


Most stable to least stable: *P*, *Q*, *R*


*P*
# Te2C3, optimized geometry, DFT GGA-PBE
# V: 13.87 Å³ per atom
# total magnetization: 0.000 μB per formula unit
data_Te2C3
_chemical_formula_sum 'Te6 C9'
_symmetry_space_group_name_H-M 'R -3 m'
_symmetry_Int_Tables_number 166
_symmetry_space_group_name_Hall '-R 3 2"'
_cell_length_a 3.4160
_cell_length_b 3.4160
_cell_length_c 20.5858
_cell_angle_alpha 90.00
_cell_angle_beta 90.00
_cell_angle_gamma 120.00
loop_
_atom_site_label
_atom_site_fract_x
_atom_site_fract_y
_atom_site_fract_z
Te1 0.0000 0.0000 0.0939
C1 0.0000 0.0000 0.2913
C2 0.0000 0.0000 0.5000


*Q*
# Te2C3, optimized geometry, DFT GGA-PBE
# V: 31.37 Å³ per atom
# total magnetization: 0.405 μB per formula unit
data_Te2C3
_chemical_formula_sum 'Te16 C24'
_symmetry_space_group_name_H-M 'F d d 2'
_symmetry_Int_Tables_number 43
_symmetry_space_group_name_Hall 'F 2 -2d'
_cell_length_a 17.720
_cell_length_b 19.459
_cell_length_c 3.639
_cell_angle_alpha 90.00
_cell_angle_beta 90.00
_cell_angle_gamma 90.00
loop_
_atom_site_label
_atom_site_fract_x
_atom_site_fract_y
_atom_site_fract_z
Te1 0.082 0.312 0.000
C1 0.000 0.000 0.751
C2 0.067 0.025 0.750


*R*
# Te2C3, optimized geometry, DFT GGA-PBE
# V: 14.53 Å³ per atom
# total magnetization: 0.000 μB per formula unit
data_Te2C3
_chemical_formula_sum 'Te2 C3'
_symmetry_space_group_name_H-M 'P -3 m 1'
_symmetry_Int_Tables_number 164
_symmetry_space_group_name_Hall '-P 3 2"'
_cell_length_a 3.7918
_cell_length_b 3.7918
_cell_length_c 5.8346
_cell_angle_alpha 90.00
_cell_angle_beta 90.00
_cell_angle_gamma 120.00
loop_
_atom_site_label
_atom_site_fract_x
_atom_site_fract_y
_atom_site_fract_z
Te1 0.3333 0.6667 0.2571
C1 0.0000 0.0000 0.5000
C2 0.3333 0.6667 0.8652


Most stable to least stable: *Q*, *P*, *R*


*P*
# Te4C, optimized geometry, DFT GGA-PBE
# V: 26.00 Å³ per atom
# total magnetization: 0.000 μB per formula unit
data_Te4C
_chemical_formula_sum 'Te8 C2'
_symmetry_space_group_name_H-M 'I m -3 m'
_symmetry_Int_Tables_number 229
_symmetry_space_group_name_Hall '-I 4 2 3'
_cell_length_a 6.382
_cell_length_b 6.382
_cell_length_c 6.382
_cell_angle_alpha 90.00
_cell_angle_beta 90.00
_cell_angle_gamma 90.00
loop_
_atom_site_label
_atom_site_fract_x
_atom_site_fract_y
_atom_site_fract_z
Te1 0.250 0.250 0.250
C1 0.000 0.000 0.000


*Q*
# Te4C, optimized geometry, DFT GGA-PBE
# V: 23.47 Å³ per atom
# total magnetization: 0.000 μB per formula unit
data_Te4C
_chemical_formula_sum 'Te4 C1'
_symmetry_space_group_name_H-M 'P m -3 m'
_symmetry_Int_Tables_number 221
_symmetry_space_group_name_Hall '-P 4 2 3'
_cell_length_a 4.896
_cell_length_b 4.896
_cell_length_c 4.896
_cell_angle_alpha 90.00
_cell_angle_beta 90.00
_cell_angle_gamma 90.00
loop_
_atom_site_label
_atom_site_fract_x
_atom_site_fract_y
_atom_site_fract_z
Te1 0.000 0.000 0.000
Te2 0.000 0.500 0.500
C1 0.500 0.500 0.500


*R*
# Te4C, optimized geometry, DFT GGA-PBE
# V: 32.43 Å³ per atom
# total magnetization: 0.726 μB per formula unit
data_Te4C
_chemical_formula_sum 'Te8 C2'
_symmetry_space_group_name_H-M 'I 4/m m m'
_symmetry_Int_Tables_number 139
_symmetry_space_group_name_Hall '-I 4 2'
_cell_length_a 4.077
_cell_length_b 4.077
_cell_length_c 19.510
_cell_angle_alpha 90.00
_cell_angle_beta 90.00
_cell_angle_gamma 90.00
loop_
_atom_site_label
_atom_site_fract_x
_atom_site_fract_y
_atom_site_fract_z
Te1 0.000 0.000 0.067
Te2 0.000 0.500 0.250
C1 0.000 0.000 0.500


Most stable to least stable: *Q*, *P*, *R*